[1]
First-principles (PBE-GGA) data for Sr3Ga5Cl12 after structural relaxation, as listed in Alexandria.

```
Sr3Ga5Cl12
1.0
-6.875 -2.813 12.796
5.648 -12.552 -5.427
10.908 9.729 2.296
Sr Ga Cl
12 20 48
direct
0.125 0.875 0.750
0.375 0.750 0.625
0.125 0.250 0.875
0.375 0.625 0.250
0.750 0.375 0.125
0.625 0.250 0.375
0.875 0.125 0.250
0.250 0.125 0.375
0.250 0.625 0.875
0.625 0.375 0.750
0.750 0.875 0.625
0.875 0.750 0.125
0.125 0.375 0.250
0.000 0.500 0.000
0.500 0.500 0.000
0.625 0.875 0.250
0.500 0.500 0.500
0.375 0.250 0.125
0.000 0.000 0.000
0.625 0.750 0.875
0.250 0.375 0.625
0.875 0.250 0.625
0.375 0.125 0.750
0.875 0.625 0.750
0.750 0.125 0.875
0.750 0.625 0.375
0.125 0.750 0.375
0.000 0.500 0.500
0.500 0.000 0.500
0.250 0.875 0.125
0.500 0.000 0.000
0.000 0.000 0.500
0.051 0.413 0.825
0.412 0.138 0.587
0.088 0.913 0.362
0.274 0.862 0.949
0.913 0.088 0.862
0.587 0.638 0.412
0.774 0.325 0.912
0.138 0.726 0.551
0.949 0.587 0.175
0.675 0.226 0.588
0.949 0.362 0.274
0.226 0.551 0.638
0.449 0.675 0.087
0.175 0.088 0.726
0.413 0.362 0.588
0.413 0.051 0.325
0.587 0.949 0.675
0.138 0.412 0.087
0.051 0.638 0.726
0.325 0.774 0.412
0.087 0.175 0.449
0.912 0.087 0.638
0.825 0.912 0.274
0.862 0.588 0.913
0.638 0.051 0.226
0.912 0.825 0.774
0.825 0.913 0.051
0.088 0.175 0.226
0.774 0.449 0.362
0.362 0.413 0.088
0.862 0.274 0.449
0.274 0.412 0.825
0.226 0.675 0.088
0.675 0.449 0.587
0.551 0.325 0.913
0.638 0.587 0.912
0.325 0.551 0.413
0.362 0.949 0.774
0.449 0.774 0.862
0.412 0.274 0.325
0.551 0.226 0.138
0.588 0.862 0.413
0.726 0.138 0.051
0.726 0.588 0.175
0.913 0.825 0.551
0.087 0.912 0.138
0.175 0.087 0.949
0.588 0.726 0.675
```

- ΔE_f (raw) (eV/atom) = -1.40
- mass density (g/cm³) = 2.8
- spin magnetization (μB per atom) = 0.00

=====

[2]
First-principles (PBE-GGA) data for Sr2Ga2Cl after structural relaxation, as listed in Alexandria.

```
Sr2Ga2Cl
1.0
8.238 0.000 0.000
0.000 8.238 0.000
0.000 0.000 4.809
Sr Cl Ga
4 2 4
direct
0.688 0.188 0.000
0.812 0.688 0.000
0.188 0.312 0.000
0.312 0.812 0.000
0.500 0.500 0.000
0.000 0.000 0.000
0.896 0.396 0.500
0.396 0.104 0.500
0.104 0.604 0.500
0.604 0.896 0.500
```

- ΔE_f (raw) (eV/atom) = -0.77
- mass density (g/cm³) = 3.6
- spin magnetization (μB per atom) = 0.00